Compound: Sc2FeSiSn
Source: the Open Quantum Materials Database
Functional: PBE
Structure: optimized geometry

Cell lengths 10.221, 4.068, 10.018 Å; angles 90.00, 118.55, 90.00 degrees
Space group C2/m (No. 12)
One atom of each set of equivalent atoms:
1 Sc 0.001 0.000 0.348 (multiplicity 4)
2 Sc 0.188 0.000 0.129 (multiplicity 4)
3 Fe 0.237 0.500 0.385 (multiplicity 4)
4 Si 0.148 0.500 0.563 (multiplicity 4)
5 Sn 0.024 0.500 0.869 (multiplicity 4)

The total energy comes out at -6.719 eV/atom.

Compound: ScTaFeSi
Source: the Open Quantum Materials Database
Functional: PBE
Structure: optimized geometry

Cell lengths 6.191, 6.191, 6.191 Å; angles 90.00, 90.00, 90.00 degrees
Space group F-43m (No. 216)
One atom of each set of equivalent atoms:
1 Sc 0.000 0.000 0.000 (multiplicity 4)
2 Ta 0.250 0.250 0.750 (multiplicity 4)
3 Fe 0.000 0.000 0.500 (multiplicity 4)
4 Si 0.250 0.250 0.250 (multiplicity 4)

The energy above the most stable polymorph in this dataset is 0.0 meV per atom.

Compound: ScFeSiTc
Source: the Open Quantum Materials Database
Functional: PBE
Structure: optimized geometry

Cell lengths 6.045, 6.045, 6.045 Å; angles 90.00, 90.00, 90.00 degrees
Space group F-43m (No. 216)
One atom of each set of equivalent atoms:
1 Sc 0.000 0.000 0.000 (multiplicity 4)
2 Fe 0.250 0.250 0.750 (multiplicity 4)
3 Si 0.000 0.000 0.500 (multiplicity 4)
4 Tc 0.250 0.250 0.250 (multiplicity 4)

The energy above the most stable polymorph in this dataset is 0.0 meV per atom.